Material: KHgTe
Method: DFT, PBE-GGA
State: optimized geometry

Cell: 5.5482 5.5482 5.5482 Å, 60.00 60.00 60.00°
Sites, in units of the cell vectors:
K1 0.0000 0.0000 0.0000
Hg1 0.7500 0.7500 0.7500
Te1 0.2500 0.2500 0.2500

The value obtained for the polymorph energy (0 for the lowest one) is 20.8 kJ/mol of atoms.